1.
Here is TbDy2Sc3S6 after structural relaxation from Alexandria via LeMat-Bulk. Energies are from GGA-PBE.

Calculated values
DOS at the Fermi energy ... 5.5 states/eV per cell
Uncorrected formation energy ... -1.93 eV per atom

a = 6.586 Å, b = 6.586 Å, c = 6.599 Å
α = 99.52°, β = 99.52°, γ = 120.19°
Element x y z (fractional)
Tb  0.000  0.000  0.000
Dy  0.333  0.667  0.000
Dy  0.667  0.333  0.000
Sc  0.166  0.834  0.500
Sc  0.500  0.500  0.500
Sc  0.834  0.166  0.500
S  0.089  0.424  0.267
S  0.246  0.246  0.733
S  0.424  0.089  0.267
S  0.576  0.911  0.733
S  0.754  0.754  0.267
S  0.911  0.576  0.733

---

2.
Here is Tb3DySc2S6 after structural relaxation from Alexandria via LeMat-Bulk. Energies are from GGA-PBE.

Calculated values
DOS at the Fermi energy ... 5.4 states/eV per cell
Uncorrected formation energy ... -1.95 eV per atom

a = 6.662 Å, b = 6.662 Å, c = 6.680 Å
α = 99.54°, β = 99.54°, γ = 120.17°
Element x y z (fractional)
Tb  0.000  0.000  0.000
Tb  0.337  0.663  0.000
Tb  0.663  0.337  0.000
Dy  0.500  0.500  0.500
Sc  0.166  0.834  0.500
Sc  0.834  0.166  0.500
S  0.078  0.421  0.262
S  0.236  0.236  0.735
S  0.421  0.078  0.262
S  0.579  0.922  0.738
S  0.764  0.764  0.265
S  0.922  0.579  0.738

---

3.
Here is Tb3Dy4ScS8 after structural relaxation from Alexandria via LeMat-Bulk. Energies are from GGA-PBE.

Calculated values
DOS at the Fermi energy ... 9.6 states/eV per cell
Uncorrected formation energy ... -1.97 eV per atom

a = 7.781 Å, b = 7.781 Å, c = 7.781 Å
α = 60.03°, β = 60.03°, γ = 60.03°
Element x y z (fractional)
Tb  0.000  0.500  0.500
Tb  0.500  0.000  0.500
Tb  0.500  0.500  0.000
Dy  0.000  0.000  0.500
Dy  0.000  0.500  0.000
Dy  0.500  0.000  0.000
Dy  0.500  0.500  0.500
Sc  0.000  0.000  0.000
S  0.243  0.755  0.755
S  0.245  0.245  0.757
S  0.245  0.757  0.245
S  0.249  0.249  0.249
S  0.751  0.751  0.751
S  0.755  0.243  0.755
S  0.755  0.755  0.243
S  0.757  0.245  0.245

---

Question: Among the records above, which one has the lowest uncorrected formation energy?
Answer: Tb3Dy4ScS8